# Cd6Sn | Alexandria via LeMat-Bulk | PBE | optimized geometry
# **Offset from the most stable computed form**: 0.0 meV per atom
# **VASP energy**: -9.02 eV per formula unit
# **Calculated volume**: 343.0 Å³ per cell
# **Energy of formation from the pure elements**: 0.0675 eV/atom
# **Size of the total moment**: 0.000 μB per atom
data_Cd6Sn
_chemical_formula_sum 'Cd12 Sn2'
_symmetry_space_group_name_H-M 'P 4/n b m'
_symmetry_Int_Tables_number 125
_cell_length_a 5.822
_cell_length_b 5.822
_cell_length_c 10.117
_cell_angle_alpha 90.00
_cell_angle_beta 90.00
_cell_angle_gamma 90.00
loop_
_symmetry_equiv_pos_as_xyz
'x,y,z'
'-x,-y,-z'
'-y+1/2,x,z'
'y+1/2,-x,-z'
'-x+1/2,-y+1/2,z'
'x+1/2,y+1/2,-z'
'y,-x+1/2,z'
'-y,x+1/2,-z'
'x,-y+1/2,-z'
'-x,y+1/2,z'
'-y+1/2,-x+1/2,-z'
'y+1/2,x+1/2,z'
'-x+1/2,y,-z'
'x+1/2,-y,z'
'y,x,-z'
'-y,-x,z'
loop_
_atom_site_label
_atom_site_fract_x
_atom_site_fract_y
_atom_site_fract_z
_atom_site_occupancy
Cd1 0.072 0.572 0.139 1
Cd2 0.250 0.250 0.356 1
Sn1 0.250 0.750 0.500 1